Entry 1:
This record from Alexandria describes an optimized crystal structure of CsK3Cd. The functional is PBE.

Unit cell a=8.794 b=13.145 c=13.145 alpha=60.27 beta=80.90 gamma=80.90
Element x y z (fractional)
1 Cs 0.250 0.942 0.058
2 Cs 0.750 0.058 0.942
3 Cs 0.250 0.364 0.636
4 Cs 0.750 0.636 0.364
5 K 0.585 0.658 0.998
6 K 0.915 0.002 0.342
7 K 0.415 0.342 0.002
8 K 0.085 0.998 0.658
9 K 0.914 0.343 0.997
10 K 0.586 0.003 0.657
11 K 0.086 0.657 0.003
12 K 0.414 0.997 0.343
13 K 0.408 0.670 0.671
14 K 0.092 0.329 0.330
15 K 0.592 0.330 0.329
16 K 0.908 0.671 0.670
17 Cd 0.707 0.405 0.728
18 Cd 0.793 0.272 0.595
19 Cd 0.293 0.595 0.272
20 Cd 0.207 0.728 0.405

Computed properties:
**Fermi-level density of states**: 15.595 states/eV per cell
**E_form**: -0.0006 eV per atom
**Electronic total energy**: -20.26 eV for the cell shown

=====

Entry 2:
This record from Alexandria describes an optimized crystal structure of Cs2K5Cd4. The functional is PBE.

Unit cell a=8.426 b=9.499 c=10.616 alpha=62.28 beta=66.62 gamma=63.67
Element x y z (fractional)
1 Cs 0.273 0.855 0.600
2 Cs 0.727 0.145 0.400
3 K 0.139 0.306 0.909
4 K 0.861 0.694 0.091
5 K 0.000 0.500 0.500
6 K 0.646 0.306 0.909
7 K 0.354 0.694 0.091
8 Cd 0.422 0.999 0.158
9 Cd 0.578 0.001 0.842
10 Cd 0.767 0.699 0.768
11 Cd 0.233 0.301 0.232

Computed properties:
**Fermi-level density of states**: 7.053 states/eV per cell
**E_form**: -0.0003 eV per atom
**Electronic total energy**: -10.86 eV for the cell shown

=====

Entry 3:
This record from Alexandria describes an optimized crystal structure of CsKLaCd2. The functional is PBE.

Unit cell a=5.928 b=5.714 c=5.928 alpha=90.00 beta=90.00 gamma=90.00
Element x y z (fractional)
1 Cs 0.000 0.000 0.000
2 K 0.000 0.500 0.000
3 Cd 0.000 0.000 0.500
4 Cd 0.500 0.000 0.000
5 La 0.500 0.500 0.500

Computed properties:
**Fermi-level density of states**: 5.998 states/eV per cell
**E_form**: 0.8319 eV per atom
**Electronic total energy**: -4.55 eV for the cell shown

=====

Entry 4:
This record from Alexandria describes an optimized crystal structure of Cs2KMgCd. The functional is PBE.

Unit cell a=7.577 b=7.577 c=5.668 alpha=90.00 beta=90.00 gamma=90.00
Element x y z (fractional)
1 Cs 0.000 0.500 0.000
2 Cs 0.500 0.000 0.000
3 K 0.500 0.500 0.500
4 Mg 0.000 0.000 0.500
5 Cd 0.000 0.000 0.000

Computed properties:
**Fermi-level density of states**: 3.970 states/eV per cell
**E_form**: 0.1236 eV per atom
**Electronic total energy**: -4.70 eV for the cell shown

=====

Question: What is the formula in the second record?
Answer: Cs2K5Cd4

=====

Question: The highest Fermi-level density of states belongs to which entry?
Answer: CsK3Cd